Computed, not measured: a geometry-optimized Nd7Tl4Hg structure at the PBE level of DFT.

The structure belongs to space group C2/m (No. 12); the cell edges are 17.205, 5.765 and 9.027 Å and the angles 90.00°, 120.92° and 90.00°. Symmetry generates all atoms from Nd at (0.000, 0.000, 0.000), Nd at (0.070, 0.500, 0.397), Nd at (0.164, 0.500, 0.926), Nd at (0.214, 0.000, 0.609), Tl at (0.057, 0.000, 0.705), Tl at (0.211, 0.000, 0.245) and Hg at (0.000, 0.500, 0.000).



Computed, not measured: a geometry-optimized NdTl2Hg6 structure at the PBE level of DFT.

The structure belongs to space group P6/mmm (No. 191); the cell edges are 9.0511, 9.0511 and 3.4068 Å and the angles 90.00°, 90.00° and 120.00°. Symmetry generates all atoms from Nd at (0.0000, 0.0000, 0.0000), Tl at (0.3333, 0.6667, 0.0000) and Hg at (0.0000, 0.3341, 0.5000).



Computed, not measured: a geometry-optimized Nd4TlHg structure at the PBE level of DFT.

Its polymorph energy (0 for the lowest one) is 0.00 eV per formula unit.

The structure belongs to space group C2/m (No. 12); the cell edges are 5.803, 10.981 and 5.807 Å and the angles 90.00°, 101.08° and 90.00°. Symmetry generates all atoms from Nd at (0.000, 0.150, 0.000), Nd at (0.000, 0.347, 0.500), Tl at (0.000, 0.000, 0.500) and Hg at (0.000, 0.500, 0.000).



no.,electronic total energy (eV/cell),energy relative to the elements (kJ/mol of formula units)
1,-91.74,-263
2,-12.54,-118
3,-46.20,-131